First-principles (PBE-GGA) data for Ba3PuO6 after structural relaxation, as listed in Alexandria via LeMat-Bulk.

Calculated values
**Theoretical density**: 6.45 g cm⁻³
**ΔE to the lowest computed polymorph**: 0.0000 eV/atom
**Magnetic moment**: 2.00 μB per formula unit

Geometry as CIF:
```
data_Ba3PuO6
_cell_length_a 9.1833
_cell_length_b 9.1833
_cell_length_c 9.1833
_cell_angle_alpha 90.00
_cell_angle_beta 90.00
_cell_angle_gamma 90.00
_space_group_name_H-M_alt 'F m -3 m'
_space_group_IT_number 225
_space_group_name_Hall '-F 4 2 3'
loop_
_atom_site_label
_atom_site_fract_x
_atom_site_fract_y
_atom_site_fract_z
Ba1 0.0000 0.0000 0.0000
Ba2 0.2500 0.2500 0.2500
Pu1 0.0000 0.0000 0.5000
O1 0.0000 0.0000 0.2752
```

First-principles (PBE-GGA) data for USnO2 after structural relaxation, as listed in Alexandria via LeMat-Bulk.

Calculated values
**Theoretical density**: 8.28 g cm⁻³
**Magnetic moment**: 0.05 μB per formula unit

Geometry as CIF:
```
data_USnO2
_cell_length_a 3.3460
_cell_length_b 3.3460
_cell_length_c 24.1174
_cell_angle_alpha 90.00
_cell_angle_beta 90.00
_cell_angle_gamma 120.00
_space_group_name_H-M_alt 'R -3 m'
_space_group_IT_number 166
_space_group_name_Hall '-R 3 2"'
loop_
_atom_site_label
_atom_site_fract_x
_atom_site_fract_y
_atom_site_fract_z
U1 0.0000 0.0000 0.0000
Sn1 0.0000 0.0000 0.5000
O1 0.0000 0.0000 0.0777
```

First-principles (PBE-GGA) data for RbI2BrO after structural relaxation, as listed in Alexandria via LeMat-Bulk.

Calculated values
**Theoretical density**: 2.81 g cm⁻³
**ΔE to the lowest computed polymorph**: 0.5881 eV/atom
**Magnetic moment**: 4.01 μB per formula unit

Geometry as CIF:
```
data_RbI2BrO
_cell_length_a 7.0413
_cell_length_b 7.0413
_cell_length_c 5.1815
_cell_angle_alpha 90.00
_cell_angle_beta 90.00
_cell_angle_gamma 90.00
_space_group_name_H-M_alt 'P 4/m m m'
_space_group_IT_number 123
_space_group_name_Hall '-P 4 2'
loop_
_atom_site_label
_atom_site_fract_x
_atom_site_fract_y
_atom_site_fract_z
Rb1 0.0000 0.0000 0.0000
I1 0.0000 0.5000 0.0000
Br1 0.5000 0.5000 0.5000
O1 0.0000 0.0000 0.5000
```

For the records above, the corresponding energy relative to the elements, uncorrected values read -2.647, -1.410, 0.394 eV/atom.
For the records above, the corresponding energy values read -7.63, -7.71, -1.75 eV/atom.
For the records above, the corresponding DOS(E_F) values read 29.63, 10.51, 10.03 states/eV/cell.